Entry from Alexandria: a geometry-optimized ScGaPd2 structure (PBE-GGA).

Summary:
total magnetic moment: 0.00 μB/cell
Fermi-level density of states: 4.38 states/eV per cell
ΔH_f (0 K): -0.4977 eV/atom

a b c (Å): 7.0991 7.0991 5.7796
angles (deg): 52.11 52.11 90.00
Positions (direct):
Ga: 0.0000 0.0000 0.0000
Sc: 0.5000 0.5000 0.0000
Pd: 0.6461 0.1250 0.2500
Pd: 0.3750 0.3539 0.7500
Pd: 0.8750 0.8961 0.7500
Ga: 0.7500 0.2500 0.5000
Pd: 0.1039 0.6250 0.2500
Sc: 0.2500 0.7500 0.5000

=====

Entry from Alexandria: a geometry-optimized AcTh2Fe structure (PBE-GGA).

Summary:
total magnetic moment: 0.00 μB/cell
Fermi-level density of states: 6.66 states/eV per cell
distance to the lowest polymorph of the same formula: 151 meV per atom
ΔH_f (0 K): 0.1671 eV/atom

a b c (Å): 3.8656 3.8656 10.6497
angles (deg): 79.54 79.54 60.00
Positions (direct):
Ac: 0.0000 0.0000 0.0000
Th: 0.8811 0.8811 0.3568
Th: 0.1189 0.1189 0.6432
Fe: 0.5000 0.5000 0.5000